First-principles (GGA-PBEsol) data for a relaxed structure of SiBBr3, as listed in Alexandria via LeMat-Bulk.

a = 5.0844 Å, b = 5.0844 Å, c = 5.0844 Å
α = 90.00°, β = 90.00°, γ = 90.00°
Space group Pm-3m (No. 221)
One atom of each set of equivalent atoms:
Si  0.0000  0.0000  0.0000 (multiplicity 1)
B  0.5000  0.5000  0.5000 (multiplicity 1)
Br  0.0000  0.0000  0.5000 (multiplicity 3)

Summary:
**Size of the total moment**: 0.23 μB per cell
**Final energy**: -14.53 eV per cell
**Density of states at the Fermi level**: 2.07 states/eV/cell


First-principles (GGA-PBEsol) data for a relaxed structure of MnCr2Ru, as listed in Alexandria via LeMat-Bulk.

a = 5.7733 Å, b = 5.7733 Å, c = 5.7733 Å
α = 90.00°, β = 90.00°, γ = 90.00°
Space group F-43m (No. 216)
One atom of each set of equivalent atoms:
Mn  0.0000  0.0000  0.0000 (multiplicity 4)
Cr  0.0000  0.0000  0.5000 (multiplicity 4)
Cr  0.2500  0.2500  0.2500 (multiplicity 4)
Ru  0.2500  0.2500  0.7500 (multiplicity 4)

Summary:
**Calculated formation energy**: 0.16 eV per atom
**Distance to the lowest polymorph of the same formula**: 15 meV per atom
**Size of the total moment**: 10.85 μB per cell
**Density of states at the Fermi level**: 15.83 states/eV/cell


First-principles (GGA-PBEsol) data for a relaxed structure of Li2CaMg, as listed in Alexandria via LeMat-Bulk.

a = 4.8918 Å, b = 4.8918 Å, c = 4.3242 Å
α = 90.00°, β = 90.00°, γ = 90.00°
Space group P4/mmm (No. 123)
One atom of each set of equivalent atoms:
Li  0.0000  0.5000  0.0000 (multiplicity 2)
Ca  0.0000  0.0000  0.5000 (multiplicity 1)
Mg  0.5000  0.5000  0.5000 (multiplicity 1)

Summary:
**Calculated formation energy**: 0.03 eV per atom
**Size of the total moment**: 0.00 μB per cell
**Density of states at the Fermi level**: 2.90 states/eV/cell


First-principles (GGA-PBEsol) data for a relaxed structure of TaTl4Br, as listed in Alexandria via LeMat-Bulk.

a = 8.5065 Å, b = 8.5065 Å, c = 8.5065 Å
α = 90.00°, β = 90.00°, γ = 90.00°
Space group F-43m (No. 216)
One atom of each set of equivalent atoms:
Ta  0.0000  0.0000  0.0000 (multiplicity 4)
Tl  0.1253  0.1253  0.3747 (multiplicity 16)
Br  0.2500  0.2500  0.7500 (multiplicity 4)

Summary:
**Size of the total moment**: 2.11 μB per cell
**Final energy**: -81.22 eV per cell
**Density of states at the Fermi level**: 17.70 states/eV/cell


First-principles (GGA-PBEsol) data for a relaxed structure of BaW2Au, as listed in Alexandria via LeMat-Bulk.

a = 4.0246 Å, b = 4.0332 Å, c = 9.8543 Å
α = 90.00°, β = 90.00°, γ = 90.00°
Space group Cmmm (No. 65)
One atom of each set of equivalent atoms:
Ba  0.0000  0.0000  0.0000 (multiplicity 2)
W  0.0000  0.5000  0.2931 (multiplicity 4)
Au  0.0000  0.0000  0.5000 (multiplicity 2)

Summary:
**Calculated formation energy**: 1.11 eV per atom
**Distance to the lowest polymorph of the same formula**: 0 meV per atom
**Size of the total moment**: 0.00 μB per cell
**Density of states at the Fermi level**: 7.00 states/eV/cell


First-principles (GGA-PBEsol) data for a relaxed structure of BaHgSe2, as listed in Alexandria via LeMat-Bulk.

a = 4.3672 Å, b = 4.3672 Å, c = 6.8653 Å
α = 90.00°, β = 90.00°, γ = 90.00°
Space group P4/mmm (No. 123)
One atom of each set of equivalent atoms:
Ba  0.0000  0.0000  0.0000 (multiplicity 1)
Hg  0.0000  0.0000  0.5000 (multiplicity 1)
Se  0.5000  0.5000  0.1765 (multiplicity 2)

Summary:
**Size of the total moment**: 0.00 μB per cell
**Final energy**: -14.07 eV per cell


First-principles (GGA-PBEsol) data for a relaxed structure of SrMgZr2, as listed in Alexandria via LeMat-Bulk.

a = 12.7906 Å, b = 3.3524 Å, c = 5.3148 Å
α = 90.00°, β = 114.47°, γ = 90.00°
Space group C2/m (No. 12)
One atom of each set of equivalent atoms:
Sr  0.0000  0.0000  0.0000 (multiplicity 2)
Mg  0.0000  0.5000  0.5000 (multiplicity 2)
Zr  0.2246  0.0000  0.7237 (multiplicity 4)

Summary:
**Calculated formation energy**: 0.30 eV per atom
**Size of the total moment**: 0.00 μB per cell
**Density of states at the Fermi level**: 8.41 states/eV/cell


First-principles (GGA-PBEsol) data for a relaxed structure of CoMoRh2, as listed in Alexandria via LeMat-Bulk.

a = 3.7352 Å, b = 3.7352 Å, c = 3.7085 Å
α = 90.00°, β = 90.00°, γ = 90.00°
Space group P4/mmm (No. 123)
One atom of each set of equivalent atoms:
Co  0.0000  0.0000  0.0000 (multiplicity 1)
Mo  0.5000  0.5000  0.0000 (multiplicity 1)
Rh  0.0000  0.5000  0.5000 (multiplicity 2)

Summary:
**Calculated formation energy**: -0.12 eV per atom
**Distance to the lowest polymorph of the same formula**: 4 meV per atom
**Size of the total moment**: 0.00 μB per cell
**Density of states at the Fermi level**: 3.60 states/eV/cell


First-principles (GGA-PBEsol) data for a relaxed structure of Cr2FeTc, as listed in Alexandria via LeMat-Bulk.

a = 4.9846 Å, b = 8.1665 Å, c = 2.4800 Å
α = 90.00°, β = 109.92°, γ = 90.00°
Space group C2/m (No. 12)
One atom of each set of equivalent atoms:
Cr  0.2500  0.2500  0.0000 (multiplicity 4)
Fe  0.0000  0.0000  0.5000 (multiplicity 2)
Tc  0.0000  0.5000  0.5000 (multiplicity 2)

Summary:
**Calculated formation energy**: 0.13 eV per atom
**Distance to the lowest polymorph of the same formula**: 13 meV per atom
**Size of the total moment**: 4.73 μB per cell
**Density of states at the Fermi level**: 8.33 states/eV/cell


First-principles (GGA-PBEsol) data for a relaxed structure of CoMoOs2, as listed in Alexandria via LeMat-Bulk.

a = 3.7693 Å, b = 3.7693 Å, c = 3.7414 Å
α = 90.00°, β = 90.00°, γ = 90.00°
Space group P4/mmm (No. 123)
One atom of each set of equivalent atoms:
Co  0.0000  0.0000  0.0000 (multiplicity 1)
Mo  0.5000  0.5000  0.0000 (multiplicity 1)
Os  0.0000  0.5000  0.5000 (multiplicity 2)

Summary:
**Calculated formation energy**: 0.01 eV per atom
**Distance to the lowest polymorph of the same formula**: 0 meV per atom
**Size of the total moment**: 0.00 μB per cell
**Density of states at the Fermi level**: 3.73 states/eV/cell


First-principles (GGA-PBEsol) data for a relaxed structure of Na2MgRhBr, as listed in Alexandria via LeMat-Bulk.

a = 5.7456 Å, b = 5.7456 Å, c = 4.6110 Å
α = 90.00°, β = 90.00°, γ = 90.00°
Space group P4/mmm (No. 123)
One atom of each set of equivalent atoms:
Na  0.0000  0.5000  0.0000 (multiplicity 2)
Mg  0.0000  0.0000  0.0000 (multiplicity 1)
Rh  0.0000  0.0000  0.5000 (multiplicity 1)
Br  0.5000  0.5000  0.5000 (multiplicity 1)

Summary:
**Size of the total moment**: 0.35 μB per cell
**Final energy**: -12.72 eV per cell
**Density of states at the Fermi level**: 4.15 states/eV/cell


First-principles (GGA-PBEsol) data for a relaxed structure of Rb3CrF, as listed in Alexandria via LeMat-Bulk.

a = 6.7519 Å, b = 6.7519 Å, c = 6.7519 Å
α = 90.00°, β = 90.00°, γ = 90.00°
Space group Pm-3m (No. 221)
One atom of each set of equivalent atoms:
Rb  0.0000  0.0000  0.5000 (multiplicity 3)
Cr  0.0000  0.0000  0.0000 (multiplicity 1)
F  0.5000  0.5000  0.5000 (multiplicity 1)

Summary:
**Size of the total moment**: 6.01 μB per cell
**Final energy**: -14.41 eV per cell
**Density of states at the Fermi level**: 2.01 states/eV/cell